Entry 1:
Here is a relaxed K4SrTc crystal from Alexandria via LeMat-Bulk. Energies are from GGA-PBE.

a b c (Å): 7.5719 7.5719 7.5719
angles (deg): 60.00 60.00 60.00
Last column: nearest neighbours and their distance in Å.
Atoms (fractional coordinates):
K 0.3764 0.3764 0.3764  6 K 3.74-3.83
K 0.3764 0.3764 0.8707  6 K 3.74-3.83
K 0.3764 0.8707 0.3764  6 K 3.74-3.83
K 0.8707 0.3764 0.3764  6 K 3.74-3.83
Sr 0.0000 0.0000 0.0000  12 K 4.44, 4 Tc 4.64
Tc 0.7500 0.7500 0.7500  12 K 4.43, 4 Sr 4.64

Computed properties:
The crystal system is cubic. The spin magnetization comes out at 3.387 μB/f.u. For the density of states at the Fermi level, the calculation gives 6.67 states/eV per cell. Its space group is F-43m (216). The calculation puts the final energy at -0.0645 hartree per atom.

---

Entry 2:
Here is a relaxed ZnAuSe2 crystal from Alexandria via LeMat-Bulk. Energies are from GGA-PBE.

a b c (Å): 3.8381 3.8381 5.4724
angles (deg): 90.00 90.00 90.00
Last column: nearest neighbours and their distance in Å.
Atoms (fractional coordinates):
Zn 0.0000 0.0000 0.0000  6 Se 2.71-2.75
Au 0.5000 0.5000 0.4964  6 Se 2.71-2.74
Se 0.0000 0.0000 0.4967  4 Au 2.71, 2 Zn 2.72-2.75
Se 0.5000 0.5000 0.9960  4 Zn 2.71, 2 Au 2.73-2.74

Computed properties:
The crystal system is tetragonal. The uncorrected formation energy comes out at -0.180 eV/atom. The spin magnetization comes out at 0.000 μB/f.u. For the density of states at the Fermi level, the calculation gives 2.29 states/eV per cell. Its space group is P4mm (99). The calculation puts the final energy at -0.1124 hartree per atom.

---

Entry 3:
Here is a relaxed RbPt2Br crystal from Alexandria via LeMat-Bulk. Energies are from GGA-PBE.

a b c (Å): 9.2552 9.2552 9.2552
angles (deg): 145.78 145.78 49.17
Last column: nearest neighbours and their distance in Å.
Atoms (fractional coordinates):
Rb 0.0000 0.0000 0.0000  8 Pt 3.70, 4 Br 3.85
Rb 0.7500 0.2500 0.5000  8 Pt 3.70, 4 Br 3.85
Pt 0.3740 0.1250 0.7490  2 Br 2.51, 2 Pt 2.72
Pt 0.3750 0.6260 0.7510  2 Br 2.51, 2 Pt 2.72
Pt 0.3760 0.6250 0.2510  2 Br 2.51, 2 Pt 2.72
Pt 0.8750 0.6240 0.2490  2 Br 2.51, 2 Pt 2.72
Br 0.2500 0.7500 0.5000  4 Pt 2.51
Br 0.5000 0.5000 0.0000  4 Pt 2.51

Computed properties:
The offset from the most stable computed form comes out at 0 meV per atom. The crystal system is tetragonal. The uncorrected formation energy comes out at 0.090 eV/atom. The spin magnetization comes out at 0.000 μB/f.u. For the density of states at the Fermi level, the calculation gives 4.90 states/eV per cell. Its space group is I-42d (122). The calculation puts the final energy at -0.1319 hartree per atom.

---

Entry 4:
Here is a relaxed Cd8GaAg2 crystal from Alexandria via LeMat-Bulk. Energies are from GGA-PBE.

a b c (Å): 5.1027 6.5654 7.5699
angles (deg): 92.81 95.26 106.04
Last column: nearest neighbours and their distance in Å.
Atoms (fractional coordinates):
Cd 0.0132 0.4889 0.2010  2 Ga 2.93-3.02, 1 Ag 2.97, 6 Cd 2.99-3.27
Cd 0.1843 0.8494 0.5018  7 Cd 2.93-3.27, 2 Ag 2.94-3.03
Cd 0.2305 0.0006 0.8934  3 Ag 2.87-3.01, 5 Cd 2.97-3.13
Cd 0.3949 0.3385 0.6281  1 Ga 2.91, 7 Cd 2.93-3.16, 2 Ag 2.94-3.03
Cd 0.6051 0.6615 0.3719  1 Ga 2.91, 7 Cd 2.93-3.16, 2 Ag 2.94-3.03
Cd 0.7695 0.9994 0.1066  3 Ag 2.87-3.01, 5 Cd 2.97-3.13
Cd 0.8157 0.1506 0.4982  7 Cd 2.93-3.27, 2 Ag 2.94-3.03
Cd 0.9868 0.5111 0.7990  2 Ga 2.93-3.02, 1 Ag 2.97, 6 Cd 2.99-3.27
Ga 0.5000 0.5000 0.0000  2 Ag 2.82, 6 Cd 2.91-3.02
Ag 0.3604 0.1948 0.2502  1 Ga 2.82, 8 Cd 2.87-3.03
Ag 0.6396 0.8052 0.7498  1 Ga 2.82, 8 Cd 2.87-3.03

Computed properties:
The offset from the most stable computed form comes out at 7 meV per atom. The crystal system is triclinic. The spin magnetization comes out at 0.000 μB/f.u. For the density of states at the Fermi level, the calculation gives 2.61 states/eV per cell. Its space group is P-1 (2). The calculation puts the final energy at -0.0528 hartree per atom.

---

Entry 5:
Here is a relaxed Li2TaVCo crystal from Alexandria via LeMat-Bulk. Energies are from GGA-PBE.

a b c (Å): 4.1117 4.1117 4.2787
angles (deg): 90.00 90.00 90.00
Last column: nearest neighbours and their distance in Å.
Atoms (fractional coordinates):
Li 0.0000 0.5000 0.0000  2 Co 2.06
Li 0.5000 0.0000 0.0000  2 Co 2.06
Ta 0.0000 0.0000 0.5000  4 V 2.91, 8 Li 2.97
V 0.5000 0.5000 0.5000  2 Co 2.14
Co 0.5000 0.5000 0.0000  4 Li 2.06, 2 V 2.14

Computed properties:
The crystal system is tetragonal. The spin magnetization comes out at 0.401 μB/f.u. For the density of states at the Fermi level, the calculation gives 4.82 states/eV per cell. Its space group is P4/mmm (123). The calculation puts the final energy at -0.2021 hartree per atom.

---

Entry 6:
Here is a relaxed Ta2FeRh crystal from Alexandria via LeMat-Bulk. Energies are from GGA-PBE.

a b c (Å): 4.9032 4.9032 4.7093
angles (deg): 101.64 101.64 34.17
Last column: nearest neighbours and their distance in Å.
Atoms (fractional coordinates):
Ta 0.0000 0.0000 0.0000  3 Fe 2.65-2.74, 4 Rh 2.70-2.84, 3 Ta 2.88-2.91
Ta 0.2280 0.2280 0.6665  3 Rh 2.64-2.78, 4 Fe 2.74-2.79, 3 Ta 2.88-2.91
Fe 0.7400 0.7400 0.1779  7 Ta 2.65-2.79, 2 Rh 2.73, 2 Fe 2.88
Rh 0.4719 0.4719 0.4704  7 Ta 2.64-2.84, 2 Fe 2.73, 2 Rh 2.88

Computed properties:
The crystal system is monoclinic. The spin magnetization comes out at 1.514 μB/f.u. For the density of states at the Fermi level, the calculation gives 4.04 states/eV per cell. Its space group is Cm (8). The calculation puts the final energy at -0.3684 hartree per atom.

---

Entry 7:
Here is a relaxed InSb2Au crystal from Alexandria via LeMat-Bulk. Energies are from GGA-PBE.

a b c (Å): 7.8964 7.8964 7.8964
angles (deg): 132.01 132.01 70.22
Last column: nearest neighbours and their distance in Å.
Atoms (fractional coordinates):
In 0.0000 0.0000 0.0000  4 Sb 2.89
In 0.7500 0.2500 0.5000  4 Sb 2.89
Sb 0.1525 0.6250 0.0275  2 Au 2.69, 2 In 2.89
Sb 0.3750 0.4025 0.5275  2 Au 2.69, 2 In 2.89
Sb 0.5975 0.1250 0.9725  2 Au 2.69, 2 In 2.89
Sb 0.8750 0.8475 0.4725  2 Au 2.69, 2 In 2.89
Au 0.2500 0.7500 0.5000  4 Sb 2.69
Au 0.5000 0.5000 0.0000  4 Sb 2.69

Computed properties:
The crystal system is tetragonal. The uncorrected formation energy comes out at 0.038 eV/atom. The spin magnetization comes out at 0.000 μB/f.u. For the density of states at the Fermi level, the calculation gives 3.95 states/eV per cell. Its space group is I-42d (122). The calculation puts the final energy at -0.1296 hartree per atom.

---

Entry 8:
Here is a relaxed CoN crystal from Alexandria via LeMat-Bulk. Energies are from GGA-PBE.

a b c (Å): 2.9288 2.9288 5.2039
angles (deg): 90.00 90.00 120.00
Last column: nearest neighbours and their distance in Å.
Atoms (fractional coordinates):
Co 0.3333 0.6667 0.0000  4 N 1.83-1.90
Co 0.6667 0.3333 0.5000  4 N 1.83-1.90
N 0.3333 0.6667 0.6347  4 Co 1.83-1.90
N 0.6667 0.3333 0.1347  4 Co 1.83-1.90

Computed properties:
The offset from the most stable computed form comes out at 54 meV per atom. The crystal system is hexagonal. The uncorrected formation energy comes out at 0.160 eV/atom. The spin magnetization comes out at 0.000 μB/f.u. For the density of states at the Fermi level, the calculation gives 1.99 states/eV per cell. Its space group is P6_3mc (186). The calculation puts the final energy at -0.2777 hartree per atom.